First-principles (PBE) data for a relaxed Pr8DyEr6 crystal, as listed in Alexandria via LeMat-Bulk.

Computed properties:
Crystal system: trigonal
Relative energy among the computed polymorphs, eV per atom: 0.000
ρ, g/cm³: 7.50
Fermi-level density of states, states/eV/cell: 66.40
DFT total energy, eV per atom: -4.512
DFT formation energy, meV per atom: 169

Lattice parameters (Å, degrees): 9.8908 9.8908 17.9777 90.00 90.00 120.00
Space group R-3 (No. 148, hexagonal axes)
Unique sites:
Pr (0.0000, 0.0000, 0.0877) [6 per cell]
Pr (0.0535, 0.2372, 0.6720) [18 per cell]
Dy (0.0000, 0.0000, 0.5000) [3 per cell]
Er (0.0374, 0.2896, 0.1768) [18 per cell]